Sc4Tl2Cd3 | PBE-GGA | relaxed

a b c (Å): 4.938 4.939 9.772
angles (deg): 89.98 90.00 60.01
Atoms (fractional coordinates):
Sc  0.667  0.667  0.878
Sc  0.000  0.000  0.330
Sc  0.000  0.000  0.670
Sc  0.333  0.333  0.122
Tl  0.333  0.333  0.797
Tl  0.667  0.667  0.203
Cd  0.333  0.333  0.460
Cd  0.000  0.000  0.000
Cd  0.667  0.667  0.540

## Properties
calculated total energy = -34.835 eV for the cell shown
volume = 22.94 Å³/atom
E_form = -21.77 kJ per mole of atoms
magnetization = 0.00 μB/cell

=====

Sc2TlCd2 | PBE-GGA | relaxed

a b c (Å): 4.003 4.003 8.411
angles (deg): 76.23 76.23 90.00
Site moments in Bohr magnetons follow the coordinates.
Atoms (fractional coordinates):
Sc  0.405  0.405  0.190  0.26
Sc  0.595  0.595  0.810  0.26
Tl  0.000  0.000  0.000  0.00
Cd  0.750  0.250  0.500  0.01
Cd  0.250  0.750  0.500  0.01

## Properties
calculated total energy = -16.486 eV for the cell shown
volume = 25.39 Å³/atom
offset from the most stable computed form = 246 meV per atom
E_form = 7.21 kJ per mole of atoms
magnetization = 0.79 μB/cell

=====

Sc3Tl3Cd2 | PBE-GGA | relaxed

a b c (Å): 3.622 4.978 10.941
angles (deg): 103.15 99.53 90.00
Atoms (fractional coordinates):
Sc  0.123  0.123  0.245
Sc  0.000  0.500  0.000
Sc  0.877  0.877  0.755
Tl  0.628  0.628  0.255
Tl  0.372  0.372  0.745
Tl  0.500  0.000  0.000
Cd  0.742  0.242  0.484
Cd  0.258  0.758  0.516

## Properties
calculated total energy = -29.154 eV for the cell shown
volume = 23.66 Å³/atom
E_form = -14.84 kJ per mole of atoms
magnetization = 0.00 μB/cell

=====

Sc2TlCd | PBE-GGA | relaxed

a b c (Å): 7.854 7.854 6.445
angles (deg): 52.46 52.46 90.00
Atoms (fractional coordinates):
Sc  0.622  0.125  0.250
Sc  0.128  0.625  0.250
Sc  0.375  0.378  0.750
Sc  0.875  0.872  0.750
Tl  0.000  0.000  0.000
Tl  0.750  0.250  0.500
Cd  0.500  0.500  0.000
Cd  0.250  0.750  0.500

## Properties
calculated total energy = -31.369 eV for the cell shown
volume = 25.22 Å³/atom
E_form = 6.26 kJ per mole of atoms
magnetization = 0.00 μB/cell

=====

Sc2TlCd2 | PBE-GGA | relaxed

a b c (Å): 3.215 3.245 11.279
angles (deg): 81.73 90.00 90.00
Site moments in Bohr magnetons follow the coordinates.
Atoms (fractional coordinates):
Sc  0.500  0.402  0.196  0.33
Sc  0.500  0.598  0.804  0.33
Tl  0.000  0.000  0.000  0.01
Cd  0.000  0.193  0.614  0.01
Cd  0.000  0.807  0.386  0.01

## Properties
calculated total energy = -17.713 eV for the cell shown
volume = 23.29 Å³/atom
offset from the most stable computed form = 0 meV per atom
E_form = -16.48 kJ per mole of atoms
magnetization = 1.00 μB/cell

=====

Sc2TlCd | PBE-GGA | relaxed

a b c (Å): 3.420 3.420 9.779
angles (deg): 79.93 79.93 60.00
Atoms (fractional coordinates):
Sc  0.084  0.084  0.749
Sc  0.250  0.250  0.251
Tl  0.667  0.667  0.999
Cd  0.500  0.500  0.501

## Properties
calculated total energy = -16.419 eV for the cell shown
volume = 24.26 Å³/atom
E_form = -11.46 kJ per mole of atoms
magnetization = 0.00 μB/cell

=====

Sc2TlCd | PBE-GGA | relaxed

a b c (Å): 5.105 5.105 5.105
angles (deg): 60.00 60.00 60.00
Site moments in Bohr magnetons follow the coordinates.
Atoms (fractional coordinates):
Cd  0.500  0.500  0.500  0.01
Sc  0.000  0.000  0.000  0.76
Sc  0.250  0.250  0.250  0.79
Tl  0.750  0.750  0.750  0.01

## Properties
calculated total energy = -15.629 eV for the cell shown
volume = 23.52 Å³/atom
E_form = 7.61 kJ per mole of atoms
magnetization = 2.32 μB/cell

=====

Sc2TlCd2 | PBE-GGA | relaxed

a b c (Å): 7.935 7.935 3.695
angles (deg): 90.00 90.00 90.00
Atoms (fractional coordinates):
Sc  0.169  0.669  0.500
Sc  0.669  0.831  0.500
Sc  0.831  0.331  0.500
Sc  0.331  0.169  0.500
Tl  0.000  0.000  0.000
Tl  0.500  0.500  0.000
Cd  0.372  0.872  0.000
Cd  0.872  0.628  0.000
Cd  0.628  0.128  0.000
Cd  0.128  0.372  0.000

## Properties
calculated total energy = -35.198 eV for the cell shown
volume = 23.26 Å³/atom
offset from the most stable computed form = 23 meV per atom
E_form = -14.27 kJ per mole of atoms
magnetization = 0.00 μB/cell